{
  "formula": "Ca4PO2",
  "functional": "PBE-GGA",
  "state": "optimized geometry",
  "formation_energy_uncorrected_mev_per_atom": -1309.2,
  "rho_g_cm3": 2.06,
  "m_tot_mub_per_atom": 0.000,
  "spacegroup": "No. 139",
  "de_polymorph_mev_per_atom": 643,
  "e_tot_ev_per_cell": -32.5,
  "cell": [[5.287, 0.000, 0.000], [0.000, 5.287, 0.000], [2.644, 2.644, 6.435]],
  "species": ["P", "Ca", "Ca", "Ca", "Ca", "O", "O"],
  "frac_coords": [[0.000, 0.000, 0.000], [0.221, 0.221, 0.558], [0.779, 0.779, 0.442], [0.000, 0.500, 0.000], [0.500, 0.000, 0.000], [0.381, 0.381, 0.237], [0.619, 0.619, 0.763]]
}